Material: Cs2Cu2Au
Method: DFT, PBE
State: optimized geometry

Cell: 3.7101 3.7101 21.9202 Å, 90.00 90.00 90.00°
With the nearest neighbours (Å) after each atom.
Space group I4/mmm (No. 139)
Unique sites:
Cs 0.0000 0.0000 0.1109 x4  4 Cu 3.57, 4 Au 3.58, 4 Cs 3.71
Cu 0.0000 0.5000 0.2500 x4  4 Cu 2.62
Au 0.0000 0.0000 0.5000 x2  8 Cs 3.58, 4 Au 3.71

## Properties
Distance to the lowest polymorph of the same formula: 21 meV/atom
VASP energy: -2.43 eV per atom
Size of the total moment: 0.00 Bohr magnetons per cell
ΔE_f: 0.202 eV/atom
DOS at the Fermi energy: 1.2 states/eV/f.u.


Material: V4Cr2Re
Method: DFT, PBE
State: optimized geometry

Cell: 4.5519 4.5519 11.9663 Å, 90.00 90.00 90.00°
With the nearest neighbours (Å) after each atom.
Space group I4/mmm (No. 139)
Unique sites:
V 0.0000 0.0000 0.2019 x4  1 Cr 2.15
V 0.0000 0.5000 0.0000 x4  2 Re 2.28
Cr 0.0000 0.0000 0.3815 x4  1 V 2.15
Re 0.0000 0.0000 0.0000 x2  6 V 2.28-2.42

## Properties
Distance to the lowest polymorph of the same formula: 1191 meV/atom
VASP energy: -8.52 eV per atom
Size of the total moment: 2.13 Bohr magnetons per cell
ΔE_f: 1.219 eV/atom
DOS at the Fermi energy: 9.3 states/eV/f.u.


Material: Ca2LuH6
Method: DFT, PBE
State: optimized geometry

Cell: 7.8082 7.8082 7.8082 Å, 90.00 90.00 90.00°
With the nearest neighbours (Å) after each atom.
Space group Fm-3m (No. 225)
Unique sites:
Ca 0.2500 0.2500 0.2500 x8  12 H 2.76
Lu 0.0000 0.0000 0.0000 x4  6 H 2.06
H 0.0000 0.0000 0.2634 x24  1 Lu 2.06

## Properties
VASP energy: -3.40 eV per atom
Size of the total moment: 0.00 Bohr magnetons per cell
DOS at the Fermi energy: 2.6 states/eV/f.u.


Material: Nd2SmYTl2
Method: DFT, PBE
State: optimized geometry

Cell: 5.2123 10.2466 6.9117 Å, 90.00 90.00 90.00°
With the nearest neighbours (Å) after each atom.
Space group Pmc2_1 (No. 26)
Unique sites:
Nd 0.0000 0.0441 0.0000 x2  5 Tl 3.32-3.65, 4 Nd 3.52-3.57
Nd 0.5000 0.1840 0.2729 x2  4 Tl 3.27-3.37, 2 Nd 3.52
Sm 0.5000 0.4580 0.9080 x2  5 Tl 3.28-3.55, 2 Sm 3.56, 2 Y 3.56
Y 0.0000 0.3147 0.6280 x2  4 Tl 3.22-3.25, 2 Sm 3.56
Tl 0.0000 0.3719 0.1657 x2  2 Y 3.22-3.25, 4 Sm 3.28-3.55, 3 Nd 3.32-3.55
Tl 0.5000 0.1439 0.7421 x2  2 Y 3.24, 4 Nd 3.27-3.37, 1 Sm 3.42

## Properties
VASP energy: -4.52 eV per atom
Size of the total moment: 0.00 Bohr magnetons per cell
ΔE_f: -0.282 eV/atom
DOS at the Fermi energy: 6.7 states/eV/f.u.


Q: What is the DOS at the Fermi energy in the first record?
A: 1.2 states/eV/f.u.


What did the first record say?
Material: Cs2Cu2Au
Method: DFT, PBE
State: optimized geometry

Cell: 3.7101 3.7101 21.9202 Å, 90.00 90.00 90.00°
With the nearest neighbours (Å) after each atom.
Space group I4/mmm (No. 139)
Unique sites:
Cs 0.0000 0.0000 0.1109 x4  4 Cu 3.57, 4 Au 3.58, 4 Cs 3.71
Cu 0.0000 0.5000 0.2500 x4  4 Cu 2.62
Au 0.0000 0.0000 0.5000 x2  8 Cs 3.58, 4 Au 3.71

## Properties
Distance to the lowest polymorph of the same formula: 21 meV/atom
VASP energy: -2.43 eV per atom
Size of the total moment: 0.00 Bohr magnetons per cell
ΔE_f: 0.202 eV/atom
DOS at the Fermi energy: 1.2 states/eV/f.u.